1.
Entry from Alexandria via LeMat-Bulk: a relaxed MgHgIO2 crystal (PBE-GGA).

Size of the total moment ... 0.339 μB per atom
Energy ... -3.14 eV per atom
Energy relative to the elements, uncorrected ... -0.464 eV/atom
Excess energy over the best structure of this formula in the dataset ... 0.0000 eV/atom

a = 4.110 Å, b = 4.110 Å, c = 6.440 Å
α = 90.00°, β = 90.00°, γ = 90.00°
Space group P4/mmm (No. 123)
Inequivalent atoms, fractional coordinates:
Mg  0.000  0.000  0.000 (multiplicity 1)
Hg  0.500  0.500  0.500 (multiplicity 1)
I  0.000  0.000  0.500 (multiplicity 1)
O  0.000  0.500  0.000 (multiplicity 2)

2.
Entry from Alexandria via LeMat-Bulk: a relaxed BeReOs2 crystal (PBE-GGA).

Size of the total moment ... 0.000 μB per atom
Energy relative to the elements ... 0.29 eV/atom
Energy ... -9.37 eV per atom

a = 5.420 Å, b = 7.306 Å, c = 2.764 Å
α = 90.00°, β = 90.00°, γ = 90.00°
Space group Cmmm (No. 65)
Inequivalent atoms, fractional coordinates:
Be  0.000  0.000  0.000 (multiplicity 2)
Re  0.000  0.500  0.000 (multiplicity 2)
Os  0.250  0.250  0.500 (multiplicity 4)

3.
Entry from Alexandria via LeMat-Bulk: a relaxed BaZr3Sc crystal (PBE-GGA).

Size of the total moment ... 0.000 μB per atom
Energy relative to the elements ... 1.54 eV/atom
Energy ... -5.24 eV per atom
Excess energy over the best structure of this formula in the dataset ... 0.5816 eV/atom

a = 5.297 Å, b = 5.297 Å, c = 5.297 Å
α = 90.00°, β = 90.00°, γ = 90.00°
Space group Pm-3m (No. 221)
Inequivalent atoms, fractional coordinates:
Ba  0.000  0.000  0.000 (multiplicity 1)
Zr  0.000  0.000  0.500 (multiplicity 3)
Sc  0.500  0.500  0.500 (multiplicity 1)

4.
Entry from Alexandria via LeMat-Bulk: a relaxed HgAsPb2 crystal (PBE-GGA).

Size of the total moment ... 0.000 μB per atom
Energy relative to the elements ... 0.10 eV/atom
Energy ... -2.99 eV per atom
Excess energy over the best structure of this formula in the dataset ... 0.1020 eV/atom

a = 3.955 Å, b = 3.970 Å, c = 6.997 Å
α = 90.00°, β = 90.00°, γ = 90.00°
Space group Pmm2 (No. 25)
Inequivalent atoms, fractional coordinates:
Hg  0.000  0.000  0.000 (multiplicity 1)
As  0.500  0.500  0.245 (multiplicity 1)
Pb  0.000  0.000  0.442 (multiplicity 1)
Pb  0.500  0.500  0.794 (multiplicity 1)

5.
Entry from Alexandria via LeMat-Bulk: a relaxed Pu2Cd3Pd4 crystal (PBE-GGA).

Size of the total moment ... 1.259 μB per atom
Energy relative to the elements ... -0.38 eV/atom
Energy ... -6.18 eV per atom

a = 5.790 Å, b = 17.518 Å, c = 7.391 Å
α = 90.00°, β = 90.00°, γ = 90.00°
Space group Cmce (No. 64)
Inequivalent atoms, fractional coordinates:
Pu  0.000  0.098  0.092 (multiplicity 8)
Cd  0.000  0.000  0.500 (multiplicity 4)
Cd  0.250  0.237  0.750 (multiplicity 8)
Pd  0.000  0.159  0.470 (multiplicity 8)
Pd  0.250  0.077  0.750 (multiplicity 8)

6.
Entry from Alexandria via LeMat-Bulk: a relaxed MgMnNi2 crystal (PBE-GGA).

Size of the total moment ... 0.887 μB per atom
Energy relative to the elements ... 0.20 eV/atom
Energy ... -5.38 eV per atom

a = 2.6923 Å, b = 2.6923 Å, c = 25.2105 Å
α = 90.00°, β = 90.00°, γ = 120.00°
Space group R3m (No. 160, hexagonal axes)
Inequivalent atoms, fractional coordinates:
Mg  0.0000  0.0000  0.0000 (multiplicity 3)
Mn  0.0000  0.0000  0.2392 (multiplicity 3)
Ni  0.0000  0.0000  0.4952 (multiplicity 3)
Ni  0.0000  0.0000  0.7497 (multiplicity 3)

7.
Entry from Alexandria via LeMat-Bulk: a relaxed Pr4Dy5Ho crystal (PBE-GGA).

Size of the total moment ... 0.000 μB per atom
Energy relative to the elements ... 0.19 eV/atom
Energy ... -4.48 eV per atom
Excess energy over the best structure of this formula in the dataset ... 0.0000 eV/atom

a = 17.246 Å, b = 3.547 Å, c = 11.344 Å
α = 90.00°, β = 90.03°, γ = 90.00°
Space group C2/m (No. 12)
Inequivalent atoms, fractional coordinates:
Pr  0.032  0.000  0.250 (multiplicity 4)
Pr  0.158  0.500  0.750 (multiplicity 4)
Dy  0.000  0.500  0.500 (multiplicity 2)
Dy  0.173  0.000  0.049 (multiplicity 4)
Dy  0.173  0.000  0.451 (multiplicity 4)
Ho  0.000  0.500  0.000 (multiplicity 2)

8.
Entry from Alexandria via LeMat-Bulk: a relaxed CeHRh2 crystal (PBE-GGA).

Size of the total moment ... 0.000 μB per atom
Energy ... -6.04 eV per atom

a = 3.0105 Å, b = 3.0105 Å, c = 21.4206 Å
α = 90.00°, β = 90.00°, γ = 120.00°
Space group R-3m (No. 166, hexagonal axes)
Inequivalent atoms, fractional coordinates:
Ce  0.0000  0.0000  0.0000 (multiplicity 3)
H  0.0000  0.0000  0.5000 (multiplicity 3)
Rh  0.0000  0.0000  0.1117 (multiplicity 6)

9.
Entry from Alexandria via LeMat-Bulk: a relaxed La2GeS5 crystal (PBE-GGA).

Size of the total moment ... 0.000 μB per atom
Energy ... -5.92 eV per atom
Energy relative to the elements, uncorrected ... -1.528 eV/atom
Excess energy over the best structure of this formula in the dataset ... 0.0000 eV/atom

a = 7.695 Å, b = 12.806 Å, c = 7.970 Å
α = 90.00°, β = 101.11°, γ = 90.00°
Space group P2_1/c (No. 14)
Inequivalent atoms, fractional coordinates:
La  0.157  0.167  0.132 (multiplicity 4)
La  0.239  0.593  0.041 (multiplicity 4)
Ge  0.340  0.617  0.592 (multiplicity 4)
S  0.129  0.706  0.697 (multiplicity 4)
S  0.136  0.121  0.497 (multiplicity 4)
S  0.171  0.527  0.382 (multiplicity 4)
S  0.419  0.008  0.283 (multiplicity 4)
S  0.460  0.234  0.951 (multiplicity 4)

10.
Entry from Alexandria via LeMat-Bulk: a relaxed MgSi3P crystal (PBE-GGA).

Size of the total moment ... 0.000 μB per atom
Energy ... -3.99 eV per atom
Energy relative to the elements, uncorrected ... 0.669 eV/atom
Excess energy over the best structure of this formula in the dataset ... 0.0000 eV/atom

a = 4.603 Å, b = 4.603 Å, c = 4.603 Å
α = 90.00°, β = 90.00°, γ = 90.00°
Space group Pm-3m (No. 221)
Inequivalent atoms, fractional coordinates:
Mg  0.000  0.000  0.000 (multiplicity 1)
Si  0.000  0.500  0.500 (multiplicity 3)
P  0.500  0.500  0.500 (multiplicity 1)

11.
Entry from Alexandria via LeMat-Bulk: a relaxed CsMnTe2 crystal (PBE-GGA).

Size of the total moment ... 1.026 μB per atom
Energy ... -4.57 eV per atom
Energy relative to the elements, uncorrected ... -0.493 eV/atom

a = 4.020 Å, b = 7.703 Å, c = 10.683 Å
α = 68.87°, β = 79.43°, γ = 89.79°
Space group P1 (No. 1)
Inequivalent atoms, fractional coordinates:
Cs  0.000  0.000  0.000 (multiplicity 1)
Cs  0.358  0.306  0.388 (multiplicity 1)
Mn  0.132  0.613  0.774 (multiplicity 1)
Mn  0.750  0.744  0.513 (multiplicity 1)
Te  0.019  0.480  0.041 (multiplicity 1)
Te  0.335  0.832  0.338 (multiplicity 1)
Te  0.663  0.890  0.707 (multiplicity 1)
Te  0.666  0.404  0.706 (multiplicity 1)

12.
Entry from Alexandria via LeMat-Bulk: a relaxed SbOsRu crystal (PBE-GGA).

Size of the total moment ... 0.000 μB per atom
Energy ... -7.67 eV per atom
Energy relative to the elements, uncorrected ... 0.544 eV/atom
Excess energy over the best structure of this formula in the dataset ... 0.1507 eV/atom

a = 2.969 Å, b = 4.037 Å, c = 8.217 Å
α = 90.00°, β = 90.00°, γ = 90.00°
Space group Imm2 (No. 44)
Inequivalent atoms, fractional coordinates:
Sb  0.000  0.000  0.000 (multiplicity 2)
Os  0.000  0.000  0.677 (multiplicity 2)
Ru  0.000  0.000  0.322 (multiplicity 2)